Na2SnHgH | PBE | optimized geometry

abc: 4.736 4.736 4.643
angles: 90.00 90.00 90.00
Fractional coordinates of all 5 atoms:
1 Na 0.000 0.500 0.000
2 Na 0.500 0.000 0.000
3 Sn 0.000 0.000 0.500
4 Hg 0.500 0.500 0.500
5 H 0.000 0.000 0.000

calculated total energy	-10.475	eV for the cell shown
crystal system	tetragonal
magnetic moment	0.0	Bohr magnetons per cell